Entry 1:
RbBa14Ir: relaxed, PBE.

It has space group Amm2 (No. 38), with a = 12.012 Å, b = 11.295 Å, c = 14.281 Å, α = 90.00°, β = 90.00° and γ = 90.00°. The inequivalent atoms are Rb at (0.000, 0.000, 0.000), Ba at (0.000, 0.246, 0.242), Ba at (0.183, 0.178, 0.506), Ba at (0.219, 0.000, 0.762), Ba at (0.265, 0.000, 0.226), Ba at (0.500, 0.000, 0.467), Ba at (0.500, 0.000, 0.988), Ba at (0.500, 0.223, 0.725) and Ir at (0.000, 0.000, 0.630).

Its volume is 1937.6 Å³ per cell. The value obtained for the total energy is -2.2284 eV/atom. The value obtained for the calculated formation energy is 6.6 kJ per mole of atoms. Its magnetization is 0.00 μB per atom.



Entry 2:
Ti6Co2Pd: relaxed, PBE.

It has space group Immm (No. 71), with a = 7.761 Å, b = 8.010 Å, c = 9.022 Å, α = 90.00°, β = 90.00° and γ = 90.00°. The inequivalent atoms are Ti at (0.000, 0.204, 0.233), Ti at (0.200, 0.308, 0.500), Ti at (0.204, 0.500, 0.172), Co at (0.000, 0.342, 0.000), Co at (0.000, 0.500, 0.365), Pd at (0.000, 0.000, 0.000) and Pd at (0.000, 0.000, 0.500).

Its volume is 560.8 Å³ per cell. The value obtained for the total energy is -7.6980 eV/atom. The value obtained for the calculated formation energy is -26.9 kJ per mole of atoms. Its magnetization is 0.00 μB per atom.



Entry 3:
BaPdI3: relaxed, PBE.

It has space group Pm-3m (No. 221), with a = 5.639 Å, b = 5.639 Å, c = 5.639 Å, α = 90.00°, β = 90.00° and γ = 90.00°. The inequivalent atoms are Ba at (0.000, 0.000, 0.000), Pd at (0.500, 0.500, 0.500) and I at (0.000, 0.500, 0.500).

The value obtained for the uncorrected formation energy is -0.963 eV/atom. Its volume is 179.3 Å³ per cell. The value obtained for the total energy is -3.3165 eV/atom. Its magnetization is 0.00 μB per atom.



Entry 4:
SrLaC4: relaxed, PBE.

It has space group C2/m (No. 12), with a = 7.729 Å, b = 4.016 Å, c = 7.854 Å, α = 90.00°, β = 117.82° and γ = 90.00°. The inequivalent atoms are Sr at (0.000, 0.000, 0.000), La at (0.000, 0.500, 0.500), C at (0.196, 0.000, 0.787) and C at (0.209, 0.500, 0.309).

Its volume is 215.6 Å³ per cell. The value obtained for the total energy is -7.2998 eV/atom. The value obtained for the calculated formation energy is -4.7 kJ per mole of atoms. Its magnetization is 0.00 μB per atom.



Entry 5:
TbEr9Sc2: relaxed, PBE.

It has space group P6/mmm (No. 191), with a = 10.9531 Å, b = 10.9531 Å, c = 3.4343 Å, α = 90.00°, β = 90.00° and γ = 120.00°. The inequivalent atoms are Tb at (0.0000, 0.0000, 0.0000), Er at (0.0000, 0.5000, 0.0000), Er at (0.1795, 0.3590, 0.5000) and Sc at (0.3333, 0.6667, 0.0000).

Its volume is 356.8 Å³ per cell. The value obtained for the total energy is -4.8203 eV/atom. The value obtained for the calculated formation energy is 4.1 kJ per mole of atoms. Its magnetization is 0.00 μB per atom.



Entry 6:
Tm4MgZn2Pd: relaxed, PBE.

It has space group R-3m (No. 166, hexagonal axes), with a = 5.0280 Å, b = 5.0280 Å, c = 24.6123 Å, α = 90.00°, β = 90.00° and γ = 120.00°. The inequivalent atoms are Tm at (0.0000, 0.0000, 0.1174), Tm at (0.0000, 0.0000, 0.3699), Mg at (0.0000, 0.0000, 0.5000), Zn at (0.0000, 0.0000, 0.2401) and Pd at (0.0000, 0.0000, 0.0000).

Its volume is 538.9 Å³ per cell. The value obtained for the total energy is -3.8282 eV/atom. The value obtained for the calculated formation energy is -41.1 kJ per mole of atoms. Its magnetization is 0.00 μB per atom.



Entry 7:
Na3LiTh3Te8: relaxed, PBE.

It has space group R-3m (No. 166, hexagonal axes), with a = 9.0247 Å, b = 9.0247 Å, c = 22.5504 Å, α = 90.00°, β = 90.00° and γ = 120.00°. The inequivalent atoms are Na at (0.0000, 0.5000, 0.0000), Li at (0.0000, 0.0000, 0.5000), Th at (0.0000, 0.5000, 0.5000), Te at (0.0000, 0.0000, 0.2484) and Te at (0.0039, 0.5019, 0.7571).

The value obtained for the uncorrected formation energy is -1.092 eV/atom. Its volume is 1590.5 Å³ per cell. The value obtained for the total energy is -4.6430 eV/atom. Its magnetization is 0.00 μB per atom.



Entry 8:
CsTa3Pd: relaxed, PBE.

It has space group Pm-3m (No. 221), with a = 5.042 Å, b = 5.042 Å, c = 5.042 Å, α = 90.00°, β = 90.00° and γ = 90.00°. The inequivalent atoms are Cs at (0.000, 0.000, 0.000), Ta at (0.000, 0.500, 0.500) and Pd at (0.500, 0.500, 0.500).

Its volume is 128.1 Å³ per cell. The value obtained for the total energy is -6.4939 eV/atom. The value obtained for the calculated formation energy is 176.3 kJ per mole of atoms. Its magnetization is 0.00 μB per atom.